Here is an optimized crystal structure of SrSbS2O8 from Alexandria via LeMat-Bulk. Energies are from PBE-GGA.

Unit cell a=8.657 b=8.657 c=8.657 alpha=33.05 beta=33.05 gamma=33.05
Element x y z (fractional)
Sr 0.000 0.000 0.000
Sb 0.500 0.500 0.500
S 0.259 0.259 0.259
S 0.741 0.741 0.741
O 0.042 0.466 0.773
O 0.227 0.958 0.534
O 0.320 0.320 0.320
O 0.466 0.773 0.042
O 0.534 0.227 0.958
O 0.680 0.680 0.680
O 0.773 0.042 0.466
O 0.958 0.534 0.227

**Formation energy from raw total energies**: -1.53 eV/atom


Here is an optimized crystal structure of Sr5Sb2SO from Alexandria via LeMat-Bulk. Energies are from PBE-GGA.

Unit cell a=4.906 b=4.906 c=11.690 alpha=90.00 beta=90.00 gamma=90.00
Element x y z (fractional)
Sr 0.000 0.000 0.000
Sr 0.000 0.500 0.500
Sr 0.500 0.000 0.500
Sr 0.500 0.500 0.246
Sr 0.500 0.500 0.754
Sb 0.000 0.000 0.290
Sb 0.000 0.000 0.710
S 0.500 0.500 0.000
O 0.500 0.500 0.500

**Formation energy from raw total energies**: -1.64 eV/atom


Here is an optimized crystal structure of TbSb2SO4 from Alexandria via LeMat-Bulk. Energies are from PBE-GGA.

Unit cell a=3.742 b=3.742 c=8.687 alpha=90.00 beta=90.00 gamma=90.00
Element x y z (fractional)
Tb 0.000 0.000 0.000
Sb 0.500 0.500 0.291
Sb 0.500 0.500 0.709
S 0.000 0.000 0.500
O 0.000 0.500 0.165
O 0.000 0.500 0.835
O 0.500 0.000 0.165
O 0.500 0.000 0.835

**Formation energy from raw total energies**: -1.76 eV/atom


Here is an optimized crystal structure of TmSb2SO4 from Alexandria via LeMat-Bulk. Energies are from PBE-GGA.

Unit cell a=3.712 b=3.712 c=8.601 alpha=90.00 beta=90.00 gamma=90.00
Element x y z (fractional)
Tm 0.000 0.000 0.000
Sb 0.500 0.500 0.290
Sb 0.500 0.500 0.710
S 0.000 0.000 0.500
O 0.000 0.500 0.161
O 0.000 0.500 0.839
O 0.500 0.000 0.161
O 0.500 0.000 0.839

**Formation energy from raw total energies**: -1.80 eV/atom


Here is an optimized crystal structure of TmSbSO2 from Alexandria via LeMat-Bulk. Energies are from PBE-GGA.

Unit cell a=6.217 b=3.875 c=7.553 alpha=90.00 beta=105.12 gamma=90.00
Element x y z (fractional)
Tm 0.202 0.250 0.430
Tm 0.798 0.750 0.570
Sb 0.187 0.250 0.904
Sb 0.813 0.750 0.096
S 0.431 0.750 0.690
S 0.569 0.250 0.310
O 0.007 0.750 0.886
O 0.016 0.750 0.362
O 0.984 0.250 0.638
O 0.993 0.250 0.114

**Formation energy from raw total energies**: -2.06 eV/atom